Crystalline Ac2La3Y3 at its relaxed geometry. Source: the Alexandria database, functional PBE.

```
Ac2La3Y3
1.0
5.2000 0.0000 -0.9784
-0.3219 5.0408 -1.7106
-0.6020 0.9109 11.1075
Ac La Y
2 3 3
Direct
0.7501 0.7501 0.5003 Ac
0.2499 0.2499 0.4997 Ac
0.8812 0.3813 0.7625 La
0.1188 0.6187 0.2375 La
0.0000 0.0000 0.0000 La
0.3792 0.8792 0.7584 Y
0.5000 0.5000 0.0000 Y
0.6208 0.1208 0.2416 Y
```

## Properties
calculated formation energy	0.04	eV/atom

Crystalline Ac2La8Y at its relaxed geometry. Source: the Alexandria database, functional PBE.

```
Ac2La8Y
1.0
5.1647 0.0000 -1.3754
-0.5545 8.1428 -2.0822
-0.1164 -0.0971 9.9472
Ac La Y
2 8 1
Direct
0.2258 0.6392 0.4515 Ac
0.7742 0.3608 0.5485 Ac
0.5876 0.4490 0.1753 La
0.3211 0.0907 0.6422 La
0.1340 0.1723 0.2680 La
0.0435 0.7280 0.0870 La
0.8660 0.8277 0.7320 La
0.6789 0.9093 0.3578 La
0.4124 0.5510 0.8247 La
0.9565 0.2720 0.9130 La
0.5000 0.0000 0.0000 Y
```

## Properties
energy above the most stable polymorph in this dataset	0.0	kJ/mol of formula units
calculated formation energy	0.02	eV/atom

Crystalline AcLa2Y at its relaxed geometry. Source: the Alexandria database, functional PBE.

```
AcLa2Y
1.0
-1.1814 -2.0788 2.9402
2.4903 -1.2149 2.5854
-1.3273 9.0627 8.3289
Ac La Y
1 2 1
Direct
0.6671 0.6671 0.9973 Ac
0.0868 0.0868 0.7401 La
0.2463 0.2463 0.2627 La
0.4998 0.4998 0.5000 Y
```

## Properties
energy above the most stable polymorph in this dataset	6.1	kJ/mol of formula units
calculated formation energy	0.03	eV/atom

Crystalline AcLa3Y2 at its relaxed geometry. Source: the Alexandria database, functional PBE.

```
AcLa3Y2
1.0
6.0295 1.2372 -1.9780
0.4046 6.1418 -1.9780
-0.4700 -0.5390 12.3258
Ac La Y
2 6 4
Direct
0.1246 0.8754 0.2500 Ac
0.8754 0.1246 0.7500 Ac
0.7906 0.5404 0.5814 La
0.4596 0.2094 0.9186 La
0.2094 0.4596 0.4186 La
0.5404 0.7906 0.0814 La
0.6249 0.3751 0.2500 La
0.3751 0.6249 0.7500 La
0.0415 0.2912 0.0825 Y
0.7088 0.9585 0.4175 Y
0.9585 0.7088 0.9175 Y
0.2912 0.0415 0.5825 Y
```

## Properties
energy above the most stable polymorph in this dataset	9.1	kJ/mol of formula units
calculated formation energy	0.04	eV/atom

Crystalline Ac8La2Y at its relaxed geometry. Source: the Alexandria database, functional PBE.

```
Ac8La2Y
1.0
6.3367 0.2801 0.2395
1.3002 9.0733 -0.5415
1.3002 0.8716 9.0475
Ac La Y
8 2 1
Direct
0.8035 0.1419 0.6566 Ac
0.1965 0.3434 0.8581 Ac
0.8852 0.2682 0.2682 Ac
0.1148 0.7318 0.7318 Ac
0.8035 0.6566 0.1419 Ac
0.1965 0.8581 0.3434 Ac
0.2924 0.4161 0.4161 Ac
0.7076 0.5839 0.5839 Ac
0.4886 0.1321 0.1321 La
0.5114 0.8679 0.8679 La
0.0000 0.0000 0.0000 Y
```

## Properties
energy above the most stable polymorph in this dataset	260.9	kJ/mol of formula units
calculated formation energy	0.36	eV/atom

Crystalline AcLaY2 at its relaxed geometry. Source: the Alexandria database, functional PBE.

```
AcLaY2
1.0
-2.8577 -2.4265 -0.1412
-0.7891 -2.1440 2.9757
-8.5337 6.8567 5.0421
Y Ac La
2 1 1
Direct
0.7486 0.7486 0.7541 Y
0.2514 0.2514 0.2459 Y
0.5000 0.5000 0.5000 Ac
0.0000 0.0000 0.0000 La
```

## Properties
energy above the most stable polymorph in this dataset	0.0	kJ/mol of formula units
calculated formation energy	0.03	eV/atom

Crystalline Ac5LaY at its relaxed geometry. Source: the Alexandria database, functional PBE.

```
Ac5LaY
1.0
5.8112 0.0008 2.1300
2.2944 7.9046 2.7349
0.1240 0.4785 8.6593
Ac La Y
5 1 1
Direct
0.7506 0.2495 0.2495 Ac
0.0000 0.3144 0.6856 Ac
0.5000 0.0000 0.0000 Ac
0.0000 0.6856 0.3144 Ac
0.2494 0.7505 0.7505 Ac
0.5000 0.5000 0.5000 La
0.0000 0.0000 0.0000 Y
```

## Properties
calculated formation energy	0.86	eV/atom

Crystalline Ac3La5Y2 at its relaxed geometry. Source: the Alexandria database, functional PBE.

```
Ac3La5Y2
1.0
9.6297 -1.7668 -2.8533
-2.8817 9.2806 -3.1433
-0.7870 -0.6483 9.8044
Ac La Y
6 10 4
Direct
0.2200 0.9700 0.9400 Ac
0.7800 0.0300 0.0600 Ac
0.6239 0.3719 0.2555 Ac
0.3761 0.6281 0.7445 Ac
0.1316 0.8835 0.2555 Ac
0.8684 0.1165 0.7445 Ac
0.2710 0.5210 0.0421 La
0.7290 0.4790 0.9579 La
0.0148 0.7648 0.5297 La
0.5342 0.2842 0.5683 La
0.9852 0.2352 0.4703 La
0.4658 0.7158 0.4317 La
0.9658 0.5255 0.7495 La
0.0342 0.4745 0.2505 La
0.2837 0.2240 0.7495 La
0.7163 0.7760 0.2505 La
0.7661 0.7161 0.7358 Y
0.2339 0.2839 0.2642 Y
0.4696 0.0197 0.7358 Y
0.5304 0.9803 0.2642 Y
```

## Properties
calculated formation energy	0.15	eV/atom

Q: Among the records above, which one has the highest calculated formation energy?
A: Ac5LaY